Entry 1:
# Hf3Sc2Ga4, relaxed, DFT PBE-GGA
data_Hf3Sc2Ga4
_symmetry_space_group_name_H-M 'C m c e'
_symmetry_Int_Tables_number 64
_symmetry_space_group_name_Hall '-C 2ac 2'
_cell_length_a 6.1540
_cell_length_b 14.9204
_cell_length_c 8.1133
_cell_angle_alpha 90.00
_cell_angle_beta 90.00
_cell_angle_gamma 90.00
loop_
_atom_site_label
_atom_site_fract_x
_atom_site_fract_y
_atom_site_fract_z
_atom_site_occupancy
Hf1 0.0000 0.0000 0.0000 1
Hf2 0.2500 0.2022 0.2500 1
Sc1 0.0000 0.1172 0.5910 1
Ga1 0.0000 0.1857 0.9455 1
Ga2 0.2500 0.0217 0.2500 1
# final energy: -6.35 eV/atom
# Fermi-level density of states: 28.976 states/eV per cell
# formation energy from the elements: -276 meV per atom

=====

Entry 2:
# HfScGa2, relaxed, DFT PBE-GGA
data_HfScGa2
_symmetry_space_group_name_H-M 'R -3 m'
_symmetry_Int_Tables_number 166
_symmetry_space_group_name_Hall '-R 3 2"'
_cell_length_a 3.2897
_cell_length_b 3.2897
_cell_length_c 25.7260
_cell_angle_alpha 90.00
_cell_angle_beta 90.00
_cell_angle_gamma 120.00
loop_
_atom_site_label
_atom_site_fract_x
_atom_site_fract_y
_atom_site_fract_z
_atom_site_occupancy
Hf1 0.0000 0.0000 0.0000 1
Sc1 0.0000 0.0000 0.5000 1
Ga1 0.0000 0.0000 0.2497 1
# final energy: -5.92 eV/atom
# offset from the most stable computed form: 207 meV/atom
# Fermi-level density of states: 10.251 states/eV per cell
# formation energy from the elements: -336 meV per atom

=====

Entry 3:
# Hf2ScGa3, relaxed, DFT PBE-GGA
data_Hf2ScGa3
_symmetry_space_group_name_H-M 'C 1 2/c 1'
_symmetry_Int_Tables_number 15
_cell_length_a 14.5947
_cell_length_b 5.6359
_cell_length_c 5.6217
_cell_angle_alpha 90.00
_cell_angle_beta 101.01
_cell_angle_gamma 90.00
loop_
_symmetry_equiv_pos_as_xyz
'x,y,z'
'-x,-y,-z'
'-x,y,-z+1/2'
'x,-y,z+1/2'
'x+1/2,y+1/2,z'
'-x+1/2,-y+1/2,-z'
'-x+1/2,y+1/2,-z+1/2'
'x+1/2,-y+1/2,z+1/2'
loop_
_atom_site_label
_atom_site_fract_x
_atom_site_fract_y
_atom_site_fract_z
_atom_site_occupancy
Hf1 0.1693 0.1212 0.0953 1
Sc1 0.0000 0.3691 0.7500 1
Ga1 0.0000 0.1255 0.2500 1
Ga2 0.1654 0.3811 0.5525 1
# final energy: -6.33 eV/atom
# offset from the most stable computed form: 83 meV/atom
# Fermi-level density of states: 16.303 states/eV per cell
# formation energy from the elements: -448 meV per atom

=====

Entry 4:
# HfScGa2, relaxed, DFT PBE-GGA
data_HfScGa2
_symmetry_space_group_name_H-M 'A m m 2'
_symmetry_Int_Tables_number 38
_cell_length_a 3.7862
_cell_length_b 4.0300
_cell_length_c 10.1637
_cell_angle_alpha 90.00
_cell_angle_beta 90.00
_cell_angle_gamma 90.00
loop_
_symmetry_equiv_pos_as_xyz
'x,y,z'
'-x,-y,z'
'-x,y,z'
'x,-y,z'
'x,y+1/2,z+1/2'
'-x,-y+1/2,z+1/2'
'-x,y+1/2,z+1/2'
'x,-y+1/2,z+1/2'
loop_
_atom_site_label
_atom_site_fract_x
_atom_site_fract_y
_atom_site_fract_z
_atom_site_occupancy
Hf1 0.0000 0.0000 0.0000 1
Sc1 0.5000 0.0000 0.7211 1
Ga1 0.0000 0.0000 0.2779 1
Ga2 0.5000 0.0000 0.4473 1
# final energy: -6.13 eV/atom
# offset from the most stable computed form: 0 meV/atom
# Fermi-level density of states: 7.113 states/eV per cell
# formation energy from the elements: -542 meV per atom

=====

The lowest formation energy from the elements belongs to which entry? number 4